Entry 1:
# Ni2IrPt | Alexandria | PBE | optimized geometry
# - total energy (eV per cell) = -51.9
# - formation energy from the elements (meV/atom) = 129
# - relative energy among the computed polymorphs (eV per atom) = 0.169
data_Ni2IrPt
_cell_length_a 2.690
_cell_length_b 4.580
_cell_length_c 8.787
_cell_angle_alpha 90.00
_cell_angle_beta 90.00
_cell_angle_gamma 90.00
_space_group_name_H-M_alt 'C m m m'
_space_group_IT_number 65
_space_group_name_Hall '-C 2 2'
loop_
_atom_site_label
_atom_site_type_symbol
_atom_site_fract_x
_atom_site_fract_y
_atom_site_fract_z
_atom_site_occupancy
Ni1 Ni 0.000 0.000 0.245 1
Ir1 Ir 0.000 0.500 0.000 1
Pt1 Pt 0.000 0.500 0.500 1

---

Entry 2:
# Ni5IrPt6 | Alexandria | PBE | optimized geometry
# - total energy (eV per cell) = -149.5
# - formation energy from the elements (meV/atom) = -63
data_Ni5IrPt6
_cell_length_a 3.848
_cell_length_b 7.426
_cell_length_c 11.539
_cell_angle_alpha 90.00
_cell_angle_beta 90.00
_cell_angle_gamma 90.00
_space_group_name_H-M_alt 'I m m m'
_space_group_IT_number 71
_space_group_name_Hall '-I 2 2'
loop_
_atom_site_label
_atom_site_type_symbol
_atom_site_fract_x
_atom_site_fract_y
_atom_site_fract_z
_atom_site_occupancy
Ni1 Ni 0.000 0.000 0.000 1
Ni2 Ni 0.000 0.000 0.336 1
Ni3 Ni 0.000 0.500 0.331 1
Ir1 Ir 0.000 0.500 0.000 1
Pt1 Pt 0.000 0.245 0.168 1
Pt2 Pt 0.000 0.259 0.500 1

---

Entry 3:
# NiIr2Pt | Alexandria | PBE | optimized geometry
# - total energy (eV per cell) = -58.7
# - formation energy from the elements (meV/atom) = 47
# - relative energy among the computed polymorphs (eV per atom) = 0.054
data_NiIr2Pt
_cell_length_a 3.835
_cell_length_b 3.835
_cell_length_c 7.614
_cell_angle_alpha 90.00
_cell_angle_beta 90.00
_cell_angle_gamma 90.00
_space_group_name_H-M_alt 'I 4/m m m'
_space_group_IT_number 139
_space_group_name_Hall '-I 4 2'
loop_
_atom_site_label
_atom_site_type_symbol
_atom_site_fract_x
_atom_site_fract_y
_atom_site_fract_z
_atom_site_occupancy
Ni1 Ni 0.000 0.000 0.000 1
Ir1 Ir 0.000 0.500 0.250 1
Pt1 Pt 0.000 0.000 0.500 1

---

Entry 4:
# NiIr3Pt | Alexandria | PBE | optimized geometry
# - total energy (eV per cell) = -30.6
# - formation energy from the elements (meV/atom) = 1568
# - relative energy among the computed polymorphs (eV per atom) = 0.000
data_NiIr3Pt
_cell_length_a 4.426
_cell_length_b 4.426
_cell_length_c 4.426
_cell_angle_alpha 90.00
_cell_angle_beta 90.00
_cell_angle_gamma 90.00
_space_group_name_H-M_alt 'P m -3 m'
_space_group_IT_number 221
_space_group_name_Hall '-P 4 2 3'
loop_
_atom_site_label
_atom_site_type_symbol
_atom_site_fract_x
_atom_site_fract_y
_atom_site_fract_z
_atom_site_occupancy
Ni1 Ni 0.000 0.000 0.000 1
Ir1 Ir 0.000 0.000 0.500 1
Pt1 Pt 0.500 0.500 0.500 1

---

Entry 5:
# Ni2IrPt | Alexandria | PBE | optimized geometry
# - total energy (eV per cell) = -104.2
# - formation energy from the elements (meV/atom) = 102
# - relative energy among the computed polymorphs (eV per atom) = 0.142
data_Ni2IrPt
_cell_length_a 5.936
_cell_length_b 5.936
_cell_length_c 5.936
_cell_angle_alpha 90.00
_cell_angle_beta 90.00
_cell_angle_gamma 90.00
_space_group_name_H-M_alt 'F m -3 m'
_space_group_IT_number 225
_space_group_name_Hall '-F 4 2 3'
loop_
_atom_site_label
_atom_site_type_symbol
_atom_site_fract_x
_atom_site_fract_y
_atom_site_fract_z
_atom_site_occupancy
Ni1 Ni 0.250 0.250 0.250 1
Ir1 Ir 0.000 0.000 0.000 1
Pt1 Pt 0.000 0.000 0.500 1

---

Entry 6:
# NiIr2Pt | Alexandria | PBE | optimized geometry
# - total energy (eV per cell) = -29.6
# - formation energy from the elements (meV/atom) = -7
# - relative energy among the computed polymorphs (eV per atom) = 0.000
data_NiIr2Pt
_cell_length_a 2.732
_cell_length_b 2.732
_cell_length_c 7.494
_cell_angle_alpha 90.00
_cell_angle_beta 90.00
_cell_angle_gamma 90.00
_space_group_name_H-M_alt 'P 4 m m'
_space_group_IT_number 99
loop_
_space_group_symop_operation_xyz
'x,y,z'
'-y,x,z'
'-x,-y,z'
'y,-x,z'
'-x,y,z'
'y,x,z'
'x,-y,z'
'-y,-x,z'
loop_
_atom_site_label
_atom_site_type_symbol
_atom_site_fract_x
_atom_site_fract_y
_atom_site_fract_z
_atom_site_occupancy
Ni1 Ni 0.000 0.000 0.000 1
Ir1 Ir 0.000 0.000 0.518 1
Ir2 Ir 0.500 0.500 0.766 1
Pt1 Pt 0.500 0.500 0.247 1

---

Entry 7:
# Ni2IrPt | Alexandria | PBE | optimized geometry
# - total energy (eV per cell) = -52.3
# - formation energy from the elements (meV/atom) = 84
# - relative energy among the computed polymorphs (eV per atom) = 0.124
data_Ni2IrPt
_cell_length_a 2.712
_cell_length_b 4.375
_cell_length_c 8.834
_cell_angle_alpha 90.00
_cell_angle_beta 90.00
_cell_angle_gamma 90.00
_space_group_name_H-M_alt 'I m m 2'
_space_group_IT_number 44
loop_
_space_group_symop_operation_xyz
'x,y,z'
'-x,-y,z'
'-x,y,z'
'x,-y,z'
'x+1/2,y+1/2,z+1/2'
'-x+1/2,-y+1/2,z+1/2'
'-x+1/2,y+1/2,z+1/2'
'x+1/2,-y+1/2,z+1/2'
loop_
_atom_site_label
_atom_site_type_symbol
_atom_site_fract_x
_atom_site_fract_y
_atom_site_fract_z
_atom_site_occupancy
Ni1 Ni 0.000 0.000 0.000 1
Ni2 Ni 0.000 0.500 0.267 1
Ir1 Ir 0.000 0.000 0.524 1
Pt1 Pt 0.000 0.500 0.757 1

---

Entry 8:
# NiIr2Pt | Alexandria | PBE | optimized geometry
# - total energy (eV per cell) = -59.1
# - formation energy from the elements (meV/atom) = -1
# - relative energy among the computed polymorphs (eV per atom) = 0.006
data_NiIr2Pt
_cell_length_a 3.822
_cell_length_b 3.822
_cell_length_c 7.649
_cell_angle_alpha 90.00
_cell_angle_beta 90.00
_cell_angle_gamma 90.00
_space_group_name_H-M_alt 'I -4 m 2'
_space_group_IT_number 119
_space_group_name_Hall 'I -4 -2'
loop_
_atom_site_label
_atom_site_type_symbol
_atom_site_fract_x
_atom_site_fract_y
_atom_site_fract_z
_atom_site_occupancy
Ni1 Ni 0.000 0.000 0.000 1
Ir1 Ir 0.000 0.000 0.500 1
Ir2 Ir 0.000 0.500 0.250 1
Pt1 Pt 0.000 0.500 0.750 1